Tb3Dy7In2: relaxed, GGA-PBE.

## Properties
Energy relative to the elements (meV/atom): 108
Calculated volume (Å³ per atom): 32.36
Mass density (g cm⁻³): 7.89

Cell lengths 6.5624, 6.5624, 31.2339 Å; angles 90.00, 90.00, 120.00 degrees
Space group R-3m (No. 166, hexagonal axes)
Asymmetric unit:
Tb 0.0000 0.0000 0.0000
Tb 0.0000 0.0000 0.1430
Dy 0.0000 0.0000 0.5000
Dy 0.0019 0.5009 0.9191
In 0.0000 0.0000 0.3337